Density functional theory data (PBE) for a geometry-optimized CaSc5S8 structure.

Its crystal system is cubic. The value obtained for the calculated total energy is -6.6241 eV per atom. The volume comes out at 1294 Å³ per cell.

It has space group F-43m (No. 216), with a = 10.898 Å, b = 10.898 Å, c = 10.898 Å, α = 90.00°, β = 90.00° and γ = 90.00°. The asymmetric unit holds Ca at (0.000, 0.000, 0.000), Sc at (0.127, 0.127, 0.627), Sc at (0.250, 0.250, 0.250), S at (0.118, 0.118, 0.382) and S at (0.139, 0.139, 0.861).


Density functional theory data (PBE) for a geometry-optimized NbGa2Rh2 structure.

Its crystal system is tetragonal. The energy above the lowest structure with this stoichiometry is 0 meV per atom. The value obtained for the calculated total energy is -6.6426 eV per atom. The volume comes out at 152 Å³ per cell. For the formation enthalpy at 0 K, the calculation gives -0.477 eV/atom.

It has space group P4/mbm (No. 127), with a = 7.296 Å, b = 7.296 Å, c = 2.847 Å, α = 90.00°, β = 90.00° and γ = 90.00°. The asymmetric unit holds Nb at (0.000, 0.000, 0.000), Ga at (0.130, 0.370, 0.000) and Rh at (0.169, 0.669, 0.500).


Density functional theory data (PBE) for a geometry-optimized Mn2TcRu structure.

Its crystal system is trigonal. The value obtained for the calculated total energy is -9.3326 eV per atom. The volume comes out at 154 Å³ per cell. For the formation enthalpy at 0 K, the calculation gives 0.163 eV/atom.

It has space group R-3m (No. 166, hexagonal axes), with a = 2.6386 Å, b = 2.6386 Å, c = 25.4972 Å, α = 90.00°, β = 90.00° and γ = 120.00°. The asymmetric unit holds Mn at (0.0000, 0.0000, 0.2494), Tc at (0.0000, 0.0000, 0.0000) and Ru at (0.0000, 0.0000, 0.5000).


Density functional theory data (PBE) for a geometry-optimized MgZn2I structure.

Its crystal system is tetragonal. The energy above the lowest structure with this stoichiometry is 0 meV per atom. The value obtained for the calculated total energy is -1.3718 eV per atom. The volume comes out at 403 Å³ per cell.

It has space group I-42d (No. 122), with a = 8.209 Å, b = 8.209 Å, c = 5.982 Å, α = 90.00°, β = 90.00° and γ = 90.00°. The asymmetric unit holds Mg at (0.000, 0.000, 0.000), Zn at (0.229, 0.250, 0.125) and I at (0.000, 0.000, 0.500).


Density functional theory data (PBE) for a geometry-optimized AcNdVN3 structure.

Its crystal system is monoclinic. The value obtained for the calculated total energy is -8.3170 eV per atom. The volume comes out at 376 Å³ per cell.

It has space group C2/m (No. 12), with a = 13.436 Å, b = 3.941 Å, c = 7.374 Å, α = 90.00°, β = 105.80° and γ = 90.00°. The asymmetric unit holds Ac at (0.142, 0.000, 0.073), Nd at (0.148, 0.000, 0.572), V at (0.000, 0.500, 0.282), N at (0.001, 0.000, 0.270), N at (0.151, 0.500, 0.816) and N at (0.154, 0.500, 0.336).


Density functional theory data (PBE) for a geometry-optimized KNa2Sb2H2 structure.

Its crystal system is monoclinic. The value obtained for the calculated total energy is -2.7866 eV per atom. The volume comes out at 367 Å³ per cell.

It has space group C2/m (No. 12), with a = 6.480 Å, b = 6.067 Å, c = 9.730 Å, α = 90.00°, β = 106.21° and γ = 90.00°. The asymmetric unit holds K at (0.000, 0.000, 0.000), Na at (0.246, 0.500, 0.618), Sb at (0.199, 0.500, 0.274) and H at (0.040, 0.500, 0.866).


Density functional theory data (PBE) for a geometry-optimized Th2Ga2Os structure.

Its crystal system is monoclinic. The energy above the lowest structure with this stoichiometry is 0 meV per atom. The value obtained for the calculated total energy is -6.9037 eV per atom. The volume comes out at 477 Å³ per cell. For the formation enthalpy at 0 K, the calculation gives -0.479 eV/atom.

It has space group C2/m (No. 12), with a = 11.555 Å, b = 3.940 Å, c = 11.908 Å, α = 90.00°, β = 118.43° and γ = 90.00°. The asymmetric unit holds Th at (0.083, 0.000, 0.363), Th at (0.212, 0.000, 0.115), Ga at (0.014, 0.500, 0.889), Ga at (0.114, 0.500, 0.592) and Os at (0.228, 0.500, 0.298).


Density functional theory data (PBE) for a geometry-optimized Zr2MnMo structure.

Its crystal system is tetragonal. The energy above the lowest structure with this stoichiometry is 23 meV per atom. The value obtained for the calculated total energy is -9.2315 eV per atom. The volume comes out at 72 Å³ per cell. For the formation enthalpy at 0 K, the calculation gives 0.043 eV/atom.

It has space group P4mm (No. 99), with a = 3.037 Å, b = 3.037 Å, c = 7.839 Å, α = 90.00°, β = 90.00° and γ = 90.00°. The asymmetric unit holds Zr at (0.000, 0.000, 0.000), Zr at (0.500, 0.500, 0.331), Mn at (0.000, 0.000, 0.570) and Mo at (0.500, 0.500, 0.736).


> Which of these has the lowest volume?

Zr2MnMo


> Which value of volume does entry 4 give?

403 Å³ per cell


> calculated total energy of number 1 (CaSc5S8)?

-6.6241 eV per atom


> calculated total energy of number 1 (CaSc5S8)?

-6.6241 eV per atom